Record 1
Crystalline Tm7Ni2Au2 at its relaxed geometry, computed with PBE-GGA.

Computed properties:
* crystal system: orthorhombic
* calculated density: 10.17 g/cm3
* polymorph energy (0 for the lowest one): 143 meV/atom
* D(E_F): 0.955 states/eV per atom
* E_form: -3.93 eV per formula unit

a = 6.547 Å, b = 6.547 Å, c = 6.814 Å
α = 90.00°, β = 90.00°, γ = 108.70°
Positions (direct):
Tm 0.000 0.000 0.000
Tm 0.000 0.500 0.252
Tm 0.000 0.500 0.748
Tm 0.500 0.000 0.252
Tm 0.500 0.000 0.748
Tm 0.500 0.500 0.246
Tm 0.500 0.500 0.754
Ni 0.292 0.708 0.000
Ni 0.708 0.292 0.000
Au 0.191 0.191 0.500
Au 0.809 0.809 0.500

=====

Record 2
Crystalline FeCuAs at its relaxed geometry, computed with PBE-GGA.

Computed properties:
* crystal system: orthorhombic
* calculated density: 7.54 g/cm3
* D(E_F): 0.959 states/eV per atom
* E_form: 0.79 eV per formula unit

a = 3.586 Å, b = 4.070 Å, c = 11.730 Å
α = 90.00°, β = 90.00°, γ = 90.00°
Positions (direct):
Fe 0.000 0.000 0.000
Fe 0.000 0.500 0.500
Fe 0.500 0.000 0.500
Fe 0.500 0.500 0.000
Cu 0.000 0.000 0.650
Cu 0.000 0.500 0.150
Cu 0.500 0.000 0.150
Cu 0.500 0.500 0.650
As 0.000 0.000 0.342
As 0.000 0.500 0.842
As 0.500 0.000 0.842
As 0.500 0.500 0.342

=====

Record 3
Crystalline Dy2ScInC at its relaxed geometry, computed with PBE-GGA.

Computed properties:
* crystal system: tetragonal
* calculated density: 7.42 g/cm3
* D(E_F): 0.193 states/eV per atom
* E_form: -2.73 eV per formula unit

a = 4.926 Å, b = 4.926 Å, c = 4.582 Å
α = 90.00°, β = 90.00°, γ = 90.00°
Positions (direct):
Dy 0.000 0.500 0.000
Dy 0.500 0.000 0.000
Sc 0.000 0.000 0.500
In 0.500 0.500 0.500
C 0.000 0.000 0.000

=====

Record 4
Crystalline Li6TlAg at its relaxed geometry, computed with PBE-GGA.

Computed properties:
* crystal system: orthorhombic
* calculated density: 4.10 g/cm3
* polymorph energy (0 for the lowest one): 0 meV/atom
* D(E_F): 0.395 states/eV per atom
* E_form: -1.37 eV per formula unit

a = 4.810 Å, b = 5.867 Å, c = 10.150 Å
α = 90.00°, β = 90.00°, γ = 90.00°
Positions (direct):
Li 0.000 0.000 0.000
Li 0.000 0.244 0.244
Li 0.000 0.256 0.744
Li 0.000 0.500 0.500
Li 0.000 0.744 0.744
Li 0.000 0.756 0.244
Li 0.500 0.000 0.660
Li 0.500 0.246 0.414
Li 0.500 0.254 0.914
Li 0.500 0.500 0.160
Li 0.500 0.746 0.914
Li 0.500 0.754 0.414
Tl 0.000 0.000 0.496
Tl 0.000 0.500 0.996
Ag 0.500 0.000 0.163
Ag 0.500 0.500 0.663

=====

Record 5
Crystalline CeScGe2O8 at its relaxed geometry, computed with PBE-GGA.

Computed properties:
* E_form (uncorrected): -2278 meV/atom
* crystal system: tetragonal
* calculated density: 4.87 g/cm3
* D(E_F): 0.783 states/eV per atom

a = 5.883 Å, b = 5.883 Å, c = 5.883 Å
α = 107.77°, β = 107.77°, γ = 112.92°
Positions (direct):
Ce 0.000 0.000 0.000
Sc 0.750 0.250 0.500
Ge 0.250 0.750 0.500
Ge 0.500 0.500 0.000
O 0.061 0.379 0.318
O 0.061 0.743 0.682
O 0.127 0.320 0.807
O 0.257 0.939 0.318
O 0.513 0.320 0.193
O 0.621 0.939 0.682
O 0.680 0.487 0.807
O 0.680 0.873 0.193

=====

Question: The lowest D(E_F) belongs to which entry?
Answer: Dy2ScInC

=====

Question: Look up the D(E_F) of the third one.
Answer: 0.193 states/eV per atom

=====

Question: Which value of D(E_F) does entry 5 give?
Answer: 0.783 states/eV per atom

=====

Question: The highest D(E_F) belongs to which entry?
Answer: FeCuAs